Record 1
First-principles (PBE) data for an optimized crystal structure of LiSmSn2Pd4, as listed in Alexandria.

Calculated values
Raw total energy (eV/cell): -123.5
V (Å³ per atom): 18.569

The structure in CIF format:
```
data_LiSmSn2Pd4
_chemical_formula_sum 'Li3 Sm3 Sn6 Pd12'
_cell_length_a 4.5871
_cell_length_b 4.5871
_cell_length_c 24.4567
_cell_angle_alpha 90.00
_cell_angle_beta 90.00
_cell_angle_gamma 120.00
_symmetry_space_group_name_H-M 'R -3 m'
_symmetry_Int_Tables_number 166
_symmetry_space_group_name_Hall '-R 3 2"'
loop_
_atom_site_label
_atom_site_fract_x
_atom_site_fract_y
_atom_site_fract_z
Li1 0.0000 0.0000 0.0000
Sm1 0.0000 0.0000 0.5000
Sn1 0.0000 0.0000 0.2581
Pd1 0.0000 0.0000 0.1041
Pd2 0.0000 0.0000 0.3715
```


Record 2
First-principles (PBE) data for an optimized crystal structure of LiSm2Sn3Pd4, as listed in Alexandria.

Calculated values
Raw total energy (eV/cell): -51.4
V (Å³ per atom): 21.602

The structure in CIF format:
```
data_LiSm2Sn3Pd4
_chemical_formula_sum 'Li1 Sm2 Sn3 Pd4'
_cell_length_a 4.4310
_cell_length_b 4.4310
_cell_length_c 11.0026
_cell_angle_alpha 90.00
_cell_angle_beta 90.00
_cell_angle_gamma 90.00
_symmetry_space_group_name_H-M 'P -4 m 2'
_symmetry_Int_Tables_number 115
_symmetry_space_group_name_Hall 'P -4 -2'
loop_
_atom_site_label
_atom_site_fract_x
_atom_site_fract_y
_atom_site_fract_z
Li1 0.0000 0.0000 0.0000
Sm1 0.0000 0.5000 0.7451
Sn1 0.0000 0.5000 0.3654
Sn2 0.5000 0.5000 0.0000
Pd1 0.0000 0.0000 0.5000
Pd2 0.0000 0.5000 0.1305
Pd3 0.5000 0.5000 0.5000
```


Record 3
First-principles (PBE) data for an optimized crystal structure of SrLiSmPd, as listed in Alexandria.

Calculated values
Raw total energy (eV/cell): -57.9
V (Å³ per atom): 25.826

The structure in CIF format:
```
data_SrLiSmPd
_chemical_formula_sum 'Sr4 Li4 Sm4 Pd4'
_cell_length_a 7.4483
_cell_length_b 7.4483
_cell_length_c 7.4483
_cell_angle_alpha 90.00
_cell_angle_beta 90.00
_cell_angle_gamma 90.00
_symmetry_space_group_name_H-M 'F -4 3 m'
_symmetry_Int_Tables_number 216
_symmetry_space_group_name_Hall 'F -4 2 3'
loop_
_atom_site_label
_atom_site_fract_x
_atom_site_fract_y
_atom_site_fract_z
Sr1 0.0000 0.0000 0.0000
Li1 0.2500 0.2500 0.7500
Sm1 0.0000 0.0000 0.5000
Pd1 0.2500 0.2500 0.2500
```


Record 4
First-principles (PBE) data for an optimized crystal structure of LiTb2SmPd4, as listed in Alexandria.

Calculated values
Raw total energy (eV/cell): -128.0
V (Å³ per atom): 20.693

The structure in CIF format:
```
data_LiTb2SmPd4
_chemical_formula_sum 'Li3 Tb6 Sm3 Pd12'
_cell_length_a 4.9089
_cell_length_b 4.9089
_cell_length_c 23.7983
_cell_angle_alpha 90.00
_cell_angle_beta 90.00
_cell_angle_gamma 120.00
_symmetry_space_group_name_H-M 'R -3 m'
_symmetry_Int_Tables_number 166
_symmetry_space_group_name_Hall '-R 3 2"'
loop_
_atom_site_label
_atom_site_fract_x
_atom_site_fract_y
_atom_site_fract_z
Li1 0.0000 0.0000 0.0000
Tb1 0.0000 0.0000 0.2585
Sm1 0.0000 0.0000 0.5000
Pd1 0.0000 0.0000 0.1226
Pd2 0.0000 0.0000 0.3783
```


Record 5
First-principles (PBE) data for an optimized crystal structure of LiSmTlPd, as listed in Alexandria.

Calculated values
Raw total energy (eV/cell): -64.3
V (Å³ per atom): 20.767

The structure in CIF format:
```
data_LiSmTlPd
_chemical_formula_sum 'Li4 Sm4 Tl4 Pd4'
_cell_length_a 6.9262
_cell_length_b 6.9262
_cell_length_c 6.9262
_cell_angle_alpha 90.00
_cell_angle_beta 90.00
_cell_angle_gamma 90.00
_symmetry_space_group_name_H-M 'F -4 3 m'
_symmetry_Int_Tables_number 216
_symmetry_space_group_name_Hall 'F -4 2 3'
loop_
_atom_site_label
_atom_site_fract_x
_atom_site_fract_y
_atom_site_fract_z
Li1 0.0000 0.0000 0.0000
Sm1 0.2500 0.2500 0.7500
Tl1 0.2500 0.2500 0.2500
Pd1 0.0000 0.0000 0.5000
```


Record 6
First-principles (PBE) data for an optimized crystal structure of LiSmTm2Pd4, as listed in Alexandria.

Calculated values
Raw total energy (eV/cell): -127.9
V (Å³ per atom): 20.015

The structure in CIF format:
```
data_LiSmTm2Pd4
_chemical_formula_sum 'Li3 Sm3 Tm6 Pd12'
_cell_length_a 4.8388
_cell_length_b 4.8388
_cell_length_c 23.6900
_cell_angle_alpha 90.00
_cell_angle_beta 90.00
_cell_angle_gamma 120.00
_symmetry_space_group_name_H-M 'R -3 m'
_symmetry_Int_Tables_number 166
_symmetry_space_group_name_Hall '-R 3 2"'
loop_
_atom_site_label
_atom_site_fract_x
_atom_site_fract_y
_atom_site_fract_z
Li1 0.0000 0.0000 0.0000
Sm1 0.0000 0.0000 0.5000
Tm1 0.0000 0.0000 0.2590
Pd1 0.0000 0.0000 0.1183
Pd2 0.0000 0.0000 0.3772
```


Record 7
First-principles (PBE) data for an optimized crystal structure of LiSmTmPd, as listed in Alexandria.

Calculated values
Raw total energy (eV/cell): -71.5
V (Å³ per atom): 22.747

The structure in CIF format:
```
data_LiSmTmPd
_chemical_formula_sum 'Li4 Sm4 Tm4 Pd4'
_cell_length_a 7.1397
_cell_length_b 7.1397
_cell_length_c 7.1397
_cell_angle_alpha 90.00
_cell_angle_beta 90.00
_cell_angle_gamma 90.00
_symmetry_space_group_name_H-M 'F -4 3 m'
_symmetry_Int_Tables_number 216
_symmetry_space_group_name_Hall 'F -4 2 3'
loop_
_atom_site_label
_atom_site_fract_x
_atom_site_fract_y
_atom_site_fract_z
Li1 0.0000 0.0000 0.0000
Sm1 0.2500 0.2500 0.7500
Tm1 0.2500 0.2500 0.2500
Pd1 0.0000 0.0000 0.5000
```


Record 8
First-principles (PBE) data for an optimized crystal structure of LiSmYPd, as listed in Alexandria.

Calculated values
Raw total energy (eV/cell): -79.2
V (Å³ per atom): 23.336

The structure in CIF format:
```
data_LiSmYPd
_chemical_formula_sum 'Li4 Sm4 Y4 Pd4'
_cell_length_a 7.2008
_cell_length_b 7.2008
_cell_length_c 7.2008
_cell_angle_alpha 90.00
_cell_angle_beta 90.00
_cell_angle_gamma 90.00
_symmetry_space_group_name_H-M 'F -4 3 m'
_symmetry_Int_Tables_number 216
_symmetry_space_group_name_Hall 'F -4 2 3'
loop_
_atom_site_label
_atom_site_fract_x
_atom_site_fract_y
_atom_site_fract_z
Li1 0.0000 0.0000 0.0000
Sm1 0.2500 0.2500 0.7500
Y1 0.2500 0.2500 0.2500
Pd1 0.0000 0.0000 0.5000
```


Record 9
First-principles (PBE) data for an optimized crystal structure of Li2Sm2ZnPd5, as listed in Alexandria.

Calculated values
Raw total energy (eV/cell): -93.4
V (Å³ per atom): 16.985

The structure in CIF format:
```
data_Li2Sm2ZnPd5
_chemical_formula_sum 'Li4 Sm4 Zn2 Pd10'
_cell_length_a 9.5545
_cell_length_b 9.5545
_cell_length_c 3.7211
_cell_angle_alpha 90.00
_cell_angle_beta 90.00
_cell_angle_gamma 90.00
_symmetry_space_group_name_H-M 'P 4/m b m'
_symmetry_Int_Tables_number 127
_symmetry_space_group_name_Hall '-P 4 2ab'
loop_
_atom_site_label
_atom_site_fract_x
_atom_site_fract_y
_atom_site_fract_z
Li1 0.1194 0.3806 0.0000
Sm1 0.1802 0.6802 0.0000
Zn1 0.0000 0.0000 0.0000
Pd1 0.0000 0.5000 0.5000
Pd2 0.0640 0.2041 0.5000
```


Record 10
First-principles (PBE) data for an optimized crystal structure of LiSm2Zn2Pd5, as listed in Alexandria.

Calculated values
Raw total energy (eV/cell): -91.8
V (Å³ per atom): 18.129

The structure in CIF format:
```
data_LiSm2Zn2Pd5
_chemical_formula_sum 'Li2 Sm4 Zn4 Pd10'
_cell_length_a 9.7669
_cell_length_b 9.7669
_cell_length_c 3.8009
_cell_angle_alpha 90.00
_cell_angle_beta 90.00
_cell_angle_gamma 90.00
_symmetry_space_group_name_H-M 'P 4/m b m'
_symmetry_Int_Tables_number 127
_symmetry_space_group_name_Hall '-P 4 2ab'
loop_
_atom_site_label
_atom_site_fract_x
_atom_site_fract_y
_atom_site_fract_z
Li1 0.0000 0.0000 0.0000
Sm1 0.1779 0.3221 0.0000
Zn1 0.1197 0.6197 0.0000
Pd1 0.0000 0.5000 0.5000
Pd2 0.0665 0.7964 0.5000
```


Record 11
First-principles (PBE) data for an optimized crystal structure of LiSm2ZnPd6, as listed in Alexandria.

Calculated values
Raw total energy (eV/cell): -99.2
V (Å³ per atom): 18.618

The structure in CIF format:
```
data_LiSm2ZnPd6
_chemical_formula_sum 'Li2 Sm4 Zn2 Pd12'
_cell_length_a 11.6334
_cell_length_b 5.5205
_cell_length_c 7.7465
_cell_angle_alpha 90.00
_cell_angle_beta 131.54
_cell_angle_gamma 90.00
_symmetry_space_group_name_H-M 'C 1 2/m 1'
_symmetry_Int_Tables_number 12
_symmetry_space_group_name_Hall '-C 2y'
loop_
_atom_site_label
_atom_site_fract_x
_atom_site_fract_y
_atom_site_fract_z
Li1 0.0000 0.0000 0.0000
Sm1 0.0009 0.5000 0.2516
Zn1 0.0000 0.0000 0.5000
Pd1 0.1780 0.0000 0.9318
Pd2 0.2479 0.2510 0.6933
```